Density functional theory data (GGA-PBE) for an optimized crystal structure of RbInBr2. Values from VASP.

Geometry as Quantum ESPRESSO input:
```
&SYSTEM
  ibrav = 0, nat = 16, ntyp = 3
/
ATOMIC_SPECIES
Br 79.90 Br.upf
In 114.82 In.upf
Rb 85.47 Rb.upf
ATOMIC_POSITIONS crystal
Br 0.750 0.163 0.239
Br 0.750 0.783 0.991
Br 0.250 0.217 0.009
Br 0.250 0.337 0.739
Br 0.250 0.717 0.491
Br 0.250 0.837 0.761
Br 0.750 0.663 0.261
Br 0.750 0.283 0.509
In 0.250 0.108 0.600
In 0.750 0.892 0.400
In 0.750 0.392 0.100
In 0.250 0.608 0.900
Rb 0.250 0.404 0.354
Rb 0.750 0.096 0.854
Rb 0.750 0.596 0.646
Rb 0.250 0.904 0.146
CELL_PARAMETERS angstrom
4.618 0.000 0.000
0.000 8.711 0.000
0.000 0.000 16.201
```

## Properties
VASP energy: -2.9474 eV per atom
formation energy (no corrections): -1.184 eV/atom
calculated volume: 651.8 Å³ per cell
space group: Pnma
magnetization: 0.0 Bohr magnetons per cell